No. 1
A plane-wave DFT calculation with PBE was carried out for a relaxed structure of NdSi2Au.

Summary:
ΔE_f (raw)	-0.36	eV per atom
calculated total energy	-5.080	eV per atom
total magnetization	0.0000	μB/atom
ρ	7.44	Mg/m³

abc: 3.9147 4.8296 4.8296
angles: 76.31 90.00 90.00
Atoms (fractional coordinates):
Nd 0.0000 0.0000 0.0000
Si 0.5000 0.5184 0.8995
Si 0.5000 0.8995 0.5184
Au 0.5000 0.4135 0.4135

No. 2
A plane-wave DFT calculation with PBE was carried out for a relaxed structure of Mo2PSe.

Summary:
ΔE_f (raw)	0.00	eV per atom
calculated total energy	-7.641	eV per atom
total magnetization	0.0000	μB/atom
ρ	8.02	Mg/m³

abc: 7.6528 7.6528 7.6528
angles: 23.48 23.48 23.48
Atoms (fractional coordinates):
Mo 0.2433 0.2433 0.2433
Mo 0.7567 0.7567 0.7567
P 0.5000 0.5000 0.5000
Se 0.0000 0.0000 0.0000

No. 3
A plane-wave DFT calculation with PBE was carried out for a relaxed structure of NbPtC3.

Summary:
energy of formation	2.319	eV per atom
calculated total energy	-6.437	eV per atom
total magnetization	0.0000	μB/atom
ρ	7.47	Mg/m³

abc: 4.1604 4.1604 4.1604
angles: 90.00 90.00 90.00
Atoms (fractional coordinates):
Nb 0.0000 0.0000 0.0000
Pt 0.5000 0.5000 0.5000
C 0.0000 0.0000 0.5000
C 0.0000 0.5000 0.0000
C 0.5000 0.0000 0.0000

No. 4
A plane-wave DFT calculation with PBE was carried out for a relaxed structure of InRe2OsO.

Summary:
ΔE_f (raw)	3.66	eV per atom
calculated total energy	-5.110	eV per atom
total magnetization	0.9848	μB/atom
ρ	8.85	Mg/m³

abc: 5.1296 5.1296 4.9424
angles: 90.00 90.00 90.00
Atoms (fractional coordinates):
In 0.0000 0.0000 0.0000
Re 0.0000 0.5000 0.0000
Re 0.5000 0.0000 0.0000
Os 0.0000 0.0000 0.5000
O 0.5000 0.5000 0.5000

No. 5
A plane-wave DFT calculation with PBE was carried out for a relaxed structure of InPd3Pt4.

Summary:
energy of formation	-0.216	eV per atom
calculated total energy	-5.526	eV per atom
total magnetization	0.0000	μB/atom
ρ	15.77	Mg/m³

abc: 8.5535 8.5535 3.9884
angles: 103.41 103.41 26.83
Atoms (fractional coordinates):
In 0.0000 0.0000 0.0000
Pd 0.2517 0.2517 0.2518
Pd 0.5000 0.5000 0.5000
Pd 0.7483 0.7483 0.7482
Pt 0.1268 0.1268 0.6269
Pt 0.3733 0.3733 0.8733
Pt 0.6267 0.6267 0.1267
Pt 0.8732 0.8732 0.3731

No. 6
A plane-wave DFT calculation with PBE was carried out for a relaxed structure of La12ErAl3.

Summary:
energy of formation	-0.126	eV per atom
calculated total energy	-4.809	eV per atom
total magnetization	0.0000	μB/atom
ρ	6.24	Mg/m³

abc: 5.0123 5.0123 20.2780
angles: 90.00 90.00 90.00
Atoms (fractional coordinates):
La 0.0000 0.0000 0.0000
La 0.0000 0.0000 0.2436
La 0.0000 0.0000 0.5000
La 0.0000 0.0000 0.7564
La 0.0000 0.5000 0.1224
La 0.0000 0.5000 0.3667
La 0.0000 0.5000 0.6333
La 0.0000 0.5000 0.8776
La 0.5000 0.0000 0.1224
La 0.5000 0.0000 0.3667
La 0.5000 0.0000 0.6333
La 0.5000 0.0000 0.8776
Er 0.5000 0.5000 0.5000
Al 0.5000 0.5000 0.0000
Al 0.5000 0.5000 0.2442
Al 0.5000 0.5000 0.7558